Entry 1:
Material: BeCo2Pt
Method: DFT, PBE
State: optimized geometry

The structure in POSCAR format:
```
BeCo2Pt
1.0
4.017 0.000 0.000
0.000 3.402 0.000
0.000 0.000 3.402
Co Be Pt
2 1 1
Direct
0.000 0.000 0.000
0.000 0.500 0.500
0.500 0.000 0.500
0.500 0.500 0.000
```

Summary:
Magnetization ... 3.5 μB per formula unit
V ... 11.62 Å³ per atom
Formation energy ... -0.183 eV/atom
Space group ... P4/mmm

=====

Entry 2:
Material: Be3CoPt
Method: DFT, PBE
State: optimized geometry

The structure in POSCAR format:
```
Be3CoPt
1.0
4.176 0.000 0.000
0.000 4.176 0.000
0.000 0.000 4.176
Be Co Pt
3 1 1
Direct
0.000 0.000 0.500
0.500 0.000 0.000
0.000 0.500 0.000
0.500 0.500 0.500
0.000 0.000 0.000
```

Summary:
Magnetization ... 1.6 μB per formula unit
V ... 14.57 Å³ per atom
Formation energy ... 0.559 eV/atom
Space group ... Pm-3m
Energy above the most stable polymorph in this dataset ... 205 meV/atom

=====

Entry 3:
Material: BeCoPt
Method: DFT, PBE
State: optimized geometry

The structure in POSCAR format:
```
BeCoPt
1.0
-0.470 -1.639 -3.537
-2.696 -0.563 2.799
-1.316 2.170 -0.831
Pt Be Co
1 1 1
Direct
0.333 0.667 0.737
0.000 0.000 0.001
0.667 0.333 0.262
```

Summary:
Magnetization ... 1.8 μB per formula unit
V ... 11.89 Å³ per atom
Formation energy ... -0.205 eV/atom
Space group ... P3m1
Energy above the most stable polymorph in this dataset ... 116 meV/atom

=====

Entry 4:
Material: Be4Co3Pt
Method: DFT, PBE
State: optimized geometry

The structure in POSCAR format:
```
Be4Co3Pt
1.0
-0.998 0.036 3.628
-1.255 -5.169 -0.294
7.035 -1.820 1.954
Co Be Pt
6 8 2
Direct
0.500 0.500 0.750
0.000 0.000 0.000
0.500 0.000 0.750
0.500 0.500 0.250
0.500 0.000 0.250
0.000 0.000 0.500
0.500 0.232 0.000
0.000 0.768 0.250
0.000 0.768 0.750
0.000 0.232 0.250
0.500 0.232 0.500
0.500 0.768 0.500
0.000 0.232 0.750
0.500 0.768 0.000
0.000 0.500 0.000
0.000 0.500 0.500
```

Summary:
Magnetization ... 0.7 μB per formula unit
V ... 9.43 Å³ per atom
Formation energy ... -0.437 eV/atom
Space group ... P4/mmm

=====

Entry 5:
Material: BeCoPt2
Method: DFT, PBE
State: optimized geometry

The structure in POSCAR format:
```
BeCoPt2
1.0
-2.050 -4.082 0.920
2.908 -3.600 -0.550
0.289 4.041 2.303
Pt Be Co
2 1 1
Direct
0.000 0.000 0.000
0.250 0.750 0.500
0.500 0.500 0.000
0.750 0.250 0.500
```

Summary:
Magnetization ... 2.2 μB per formula unit
V ... 13.05 Å³ per atom
Formation energy ... -0.187 eV/atom
Space group ... I-4m2

=====

Entry 6:
Material: Be2CoPtRh
Method: DFT, PBE
State: optimized geometry

The structure in POSCAR format:
```
Be2CoPtRh
1.0
3.962 0.000 0.000
0.000 4.393 0.000
0.000 0.000 3.962
Co Pt Be Rh
1 1 2 1
Direct
0.000 0.000 0.000
0.000 0.500 0.000
0.000 0.000 0.500
0.500 0.000 0.000
0.500 0.500 0.500
```

Summary:
Magnetization ... 0.0 μB per formula unit
V ... 13.79 Å³ per atom
Formation energy ... 0.661 eV/atom
Space group ... P4/mmm

=====

Entry 7:
Material: Sm2BeCoPt6
Method: DFT, PBE
State: optimized geometry

The structure in POSCAR format:
```
Sm2BeCoPt6
1.0
-2.345 1.670 4.830
3.097 -5.894 3.542
3.245 1.616 4.289
Pt Co Sm Be
6 1 2 1
Direct
0.741 0.714 0.518
0.741 0.714 0.028
0.769 0.286 0.972
0.231 0.714 0.028
0.259 0.286 0.482
0.259 0.286 0.972
0.000 0.000 0.000
0.293 0.879 0.414
0.707 0.121 0.586
0.500 0.500 0.000
```

Summary:
Magnetization ... 2.3 μB per formula unit
V ... 18.63 Å³ per atom
Formation energy ... -0.674 eV/atom
Space group ... C2/m

=====

Entry 8:
Material: SrBeCo2Pt
Method: DFT, PBE
State: optimized geometry

The structure in POSCAR format:
```
SrBeCo2Pt
1.0
4.629 0.000 0.000
0.000 4.629 0.000
0.000 0.000 5.235
Co Sr Be Pt
2 1 1 1
Direct
0.000 0.500 0.000
0.500 0.000 0.000
0.000 0.000 0.000
0.500 0.500 0.500
0.000 0.000 0.500
```

Summary:
Magnetization ... 2.5 μB per formula unit
V ... 22.44 Å³ per atom
Formation energy ... 2.237 eV/atom
Space group ... P4/mmm

=====

Entry 9:
Material: BeVCoPt
Method: DFT, PBE
State: optimized geometry

The structure in POSCAR format:
```
BeVCoPt
1.0
4.098 0.000 0.000
2.049 3.549 0.000
2.049 1.183 3.346
Co V Be Pt
1 1 1 1
Direct
0.250 0.250 0.250
0.000 0.000 0.000
0.500 0.500 0.500
0.750 0.750 0.750
```

Summary:
Magnetization ... 2.0 μB per formula unit
V ... 12.17 Å³ per atom
Formation energy ... -0.350 eV/atom
Space group ... F-43m

=====

Entry 10:
Material: Be2VCoPt
Method: DFT, PBE
State: optimized geometry

The structure in POSCAR format:
```
Be2VCoPt
1.0
4.133 0.000 0.000
0.000 3.958 0.000
0.000 0.000 4.133
V Be Co Pt
1 2 1 1
Direct
0.000 0.000 0.000
0.500 0.000 0.000
0.000 0.000 0.500
0.000 0.500 0.000
0.500 0.500 0.500
```

Summary:
Magnetization ... 0.2 μB per formula unit
V ... 13.52 Å³ per atom
Formation energy ... 1.116 eV/atom
Space group ... P4/mmm

=====

Entry 11:
Material: PuBeCo2
Method: DFT, PBE
State: optimized geometry

The structure in POSCAR format:
```
PuBeCo2
1.0
-0.612 3.282 -1.707
-3.393 0.788 -1.387
-2.555 3.237 3.022
Be Co Pu
1 2 1
Direct
0.500 0.500 0.500
0.790 0.790 0.631
0.210 0.210 0.369
0.000 0.000 0.000
```

Summary:
Magnetization ... 3.7 μB per formula unit
V ... 14.09 Å³ per atom
Formation energy ... -0.050 eV/atom
Space group ... R-3m

=====

Entry 12:
Material: Pu2BeCo
Method: DFT, PBE
State: optimized geometry

The structure in POSCAR format:
```
Pu2BeCo
1.0
-1.157 1.226 -1.952
-2.435 -0.578 -0.623
-4.675 7.628 5.855
Pu Be Co
2 1 1
Direct
0.089 0.089 0.733
0.911 0.911 0.267
0.000 0.000 0.000
0.500 0.500 0.500
```

Summary:
Magnetization ... 2.9 μB per formula unit
V ... 15.25 Å³ per atom
Formation energy ... 0.714 eV/atom
Space group ... R-3m

=====

no.,energy (eV for the cell shown)
1,-24.7
2,-21.5
3,-17.5
4,-91.5
5,-23.7
6,-24.6
7,-63.3
8,-14.5
9,-27.4
10,-24.1
11,-32.5
12,-36.6